[1]
# GGA-PBE AsRu2, optimized geometry
# - E (eV per atom) = -7.58
# - calculated volume (Å³/cell) = 356
# - E_form (eV per atom) = 0.16
data_AsRu2
_cell_length_a 3.997
_cell_length_b 3.997
_cell_length_c 22.307
_cell_angle_alpha 90.00
_cell_angle_beta 90.00
_cell_angle_gamma 90.00
_space_group_name_H-M_alt 'I 41/a m d'
_space_group_IT_number 141
loop_
_space_group_symop_operation_xyz
'x,y,z'
'-x,-y,-z'
'-y+1/4,x+3/4,z+1/4'
'y+1/4,-x+3/4,-z+1/4'
'-x+1/2,-y,z+1/2'
'x+1/2,y,-z+1/2'
'y+1/4,-x+1/4,z+3/4'
'-y+1/4,x+1/4,-z+3/4'
'x,-y,-z'
'-x,y,z'
'-y+1/4,-x+1/4,-z+3/4'
'y+1/4,x+1/4,z+3/4'
'-x+1/2,y,-z+1/2'
'x+1/2,-y,z+1/2'
'y+1/4,x+3/4,-z+1/4'
'-y+1/4,-x+3/4,z+1/4'
'x+1/2,y+1/2,z+1/2'
'-x+1/2,-y+1/2,-z+1/2'
'-y+3/4,x+1/4,z+3/4'
'y+3/4,-x+1/4,-z+3/4'
'-x,-y+1/2,z'
'x,y+1/2,-z'
'y+3/4,-x+3/4,z+1/4'
'-y+3/4,x+3/4,-z+1/4'
'x+1/2,-y+1/2,-z+1/2'
'-x+1/2,y+1/2,z+1/2'
'-y+3/4,-x+3/4,-z+1/4'
'y+3/4,x+3/4,z+1/4'
'-x,y+1/2,-z'
'x,-y+1/2,z'
'y+3/4,x+1/4,-z+3/4'
'-y+3/4,-x+1/4,z+3/4'
loop_
_atom_site_label
_atom_site_fract_x
_atom_site_fract_y
_atom_site_fract_z
As1 0.000 0.250 0.301
Ru1 0.000 0.250 0.135
Ru2 0.000 0.250 0.784

---

[2]
# GGA-PBE ThSnSe4, optimized geometry
# - energy relative to the elements, uncorrected (meV/atom) = -898
# - E (eV per atom) = -5.13
# - calculated volume (Å³/cell) = 340
data_ThSnSe4
_cell_length_a 6.892
_cell_length_b 6.977
_cell_length_c 7.129
_cell_angle_alpha 90.00
_cell_angle_beta 96.83
_cell_angle_gamma 90.00
_space_group_name_H-M_alt 'P 1 21/c 1'
_space_group_IT_number 14
loop_
_space_group_symop_operation_xyz
'x,y,z'
'-x,-y,-z'
'-x,y+1/2,-z+1/2'
'x,-y+1/2,z+1/2'
loop_
_atom_site_label
_atom_site_fract_x
_atom_site_fract_y
_atom_site_fract_z
Th1 0.000 0.000 0.000
Sn1 0.500 0.000 0.500
Se1 0.181 0.179 0.348
Se2 0.300 0.715 0.258

---

[3]
# GGA-PBE Sr2TlTeO8, optimized geometry
# - energy relative to the elements, uncorrected (meV/atom) = -1341
# - E (eV per atom) = -5.39
# - calculated volume (Å³/cell) = 192
data_Sr2TlTeO8
_cell_length_a 4.661
_cell_length_b 7.882
_cell_length_c 5.250
_cell_angle_alpha 90.00
_cell_angle_beta 94.52
_cell_angle_gamma 90.00
_space_group_name_H-M_alt 'P 1 2/m 1'
_space_group_IT_number 10
loop_
_space_group_symop_operation_xyz
'x,y,z'
'-x,-y,-z'
'-x,y,-z'
'x,-y,z'
loop_
_atom_site_label
_atom_site_fract_x
_atom_site_fract_y
_atom_site_fract_z
Sr1 0.000 0.248 0.000
Tl1 0.500 0.500 0.500
Te1 0.500 0.000 0.500
O1 0.075 0.000 0.381
O2 0.162 0.500 0.243
O3 0.455 0.177 0.745

---

[4]
# GGA-PBE Ac2Pr2Nd, optimized geometry
# - E (eV per atom) = -4.11
# - energy above the most stable polymorph in this dataset (kcal/mol of atoms) = 8.45
# - calculated volume (Å³/cell) = 420
# - E_form (eV per atom) = 0.40
data_Ac2Pr2Nd
_cell_length_a 5.007
_cell_length_b 5.007
_cell_length_c 16.766
_cell_angle_alpha 90.00
_cell_angle_beta 90.00
_cell_angle_gamma 90.00
_space_group_name_H-M_alt 'I 4/m m m'
_space_group_IT_number 139
_space_group_name_Hall '-I 4 2'
loop_
_atom_site_label
_atom_site_fract_x
_atom_site_fract_y
_atom_site_fract_z
Ac1 0.000 0.500 0.250
Pr1 0.000 0.000 0.092
Nd1 0.000 0.000 0.500

---

[5]
# GGA-PBE Cs4Nd3DyO8, optimized geometry
# - energy relative to the elements, uncorrected (meV/atom) = -2531
# - E (eV per atom) = -6.40
# - calculated volume (Å³/cell) = 972
data_Cs4Nd3DyO8
_cell_length_a 7.3413
_cell_length_b 7.3413
_cell_length_c 20.8229
_cell_angle_alpha 90.00
_cell_angle_beta 90.00
_cell_angle_gamma 120.00
_space_group_name_H-M_alt 'R -3 m'
_space_group_IT_number 166
_space_group_name_Hall '-R 3 2"'
loop_
_atom_site_label
_atom_site_fract_x
_atom_site_fract_y
_atom_site_fract_z
Cs1 0.0000 0.0000 0.0000
Cs2 0.0000 0.5000 0.0000
Nd1 0.0000 0.5000 0.5000
Dy1 0.0000 0.0000 0.5000
O1 0.0000 0.0000 0.2231
O2 0.0090 0.5045 0.2226

---

[6]
# GGA-PBE K4Ac3PtO8, optimized geometry
# - energy relative to the elements, uncorrected (meV/atom) = -2078
# - E (eV per atom) = -5.98
# - calculated volume (Å³/cell) = 641
data_K4Ac3PtO8
_cell_length_a 13.726
_cell_length_b 7.191
_cell_length_c 7.366
_cell_angle_alpha 90.00
_cell_angle_beta 118.17
_cell_angle_gamma 90.00
_space_group_name_H-M_alt 'C 1 2/m 1'
_space_group_IT_number 12
loop_
_space_group_symop_operation_xyz
'x,y,z'
'-x,-y,-z'
'-x,y,-z'
'x,-y,z'
'x+1/2,y+1/2,z'
'-x+1/2,-y+1/2,-z'
'-x+1/2,y+1/2,-z'
'x+1/2,-y+1/2,z'
loop_
_atom_site_label
_atom_site_fract_x
_atom_site_fract_y
_atom_site_fract_z
K1 0.000 0.000 0.000
K2 0.000 0.500 0.000
K3 0.250 0.250 0.000
Ac1 0.000 0.000 0.500
Ac2 0.250 0.250 0.500
Pt1 0.000 0.500 0.500
O1 0.031 0.294 0.342
O2 0.203 0.000 0.248
O3 0.208 0.000 0.693

---

[7]
# GGA-PBE NaHgCl3, optimized geometry
# - energy relative to the elements, uncorrected (meV/atom) = -1038
# - E (eV per atom) = -2.47
# - energy above the most stable polymorph in this dataset (kcal/mol of atoms) = 0.49
# - calculated volume (Å³/cell) = 555
data_NaHgCl3
_cell_length_a 7.929
_cell_length_b 4.170
_cell_length_c 16.778
_cell_angle_alpha 90.00
_cell_angle_beta 90.00
_cell_angle_gamma 90.00
_space_group_name_H-M_alt 'P n m a'
_space_group_IT_number 62
loop_
_space_group_symop_operation_xyz
'x,y,z'
'-x,-y,-z'
'-x+1/2,-y,z+1/2'
'x+1/2,y,-z+1/2'
'x+1/2,-y+1/2,-z+1/2'
'-x+1/2,y+1/2,z+1/2'
'-x,y+1/2,-z'
'x,-y+1/2,z'
loop_
_atom_site_label
_atom_site_fract_x
_atom_site_fract_y
_atom_site_fract_z
Na1 0.169 0.250 0.135
Hg1 0.174 0.250 0.407
Cl1 0.012 0.250 0.285
Cl2 0.103 0.250 0.898
Cl3 0.159 0.250 0.555

---

[8]
# GGA-PBE NdErTl3, optimized geometry
# - E (eV per atom) = -3.41
# - calculated volume (Å³/cell) = 307
# - E_form (eV per atom) = -0.13
data_NdErTl3
_cell_length_a 7.3804
_cell_length_b 7.3804
_cell_length_c 6.5055
_cell_angle_alpha 90.00
_cell_angle_beta 90.00
_cell_angle_gamma 120.00
_space_group_name_H-M_alt 'P 63/m m c'
_space_group_IT_number 194
_space_group_name_Hall '-P 6c 2c'
loop_
_atom_site_label
_atom_site_fract_x
_atom_site_fract_y
_atom_site_fract_z
Nd1 0.3333 0.6667 0.2500
Er1 0.0000 0.0000 0.0000
Tl1 0.1986 0.3971 0.7500

---

[9]
# GGA-PBE BeTlCu2, optimized geometry
# - E (eV per atom) = -3.18
# - energy above the most stable polymorph in this dataset (kcal/mol of atoms) = 3.28
# - calculated volume (Å³/cell) = 114
# - E_form (eV per atom) = 0.39
data_BeTlCu2
_cell_length_a 3.905
_cell_length_b 3.905
_cell_length_c 7.494
_cell_angle_alpha 90.00
_cell_angle_beta 90.00
_cell_angle_gamma 90.00
_space_group_name_H-M_alt 'I -4 m 2'
_space_group_IT_number 119
_space_group_name_Hall 'I -4 -2'
loop_
_atom_site_label
_atom_site_fract_x
_atom_site_fract_y
_atom_site_fract_z
Be1 0.000 0.000 0.000
Tl1 0.000 0.500 0.250
Cu1 0.000 0.000 0.500
Cu2 0.000 0.500 0.750

---

[10]
# GGA-PBE MgTi, optimized geometry
# - E (eV per atom) = -2.79
# - calculated volume (Å³/cell) = 538
# - E_form (eV per atom) = 1.96
data_MgTi
_cell_length_a 8.132
_cell_length_b 8.132
_cell_length_c 8.132
_cell_angle_alpha 90.00
_cell_angle_beta 90.00
_cell_angle_gamma 90.00
_space_group_name_H-M_alt 'P m -3 n'
_space_group_IT_number 223
_space_group_name_Hall '-P 4n 2 3'
loop_
_atom_site_label
_atom_site_fract_x
_atom_site_fract_y
_atom_site_fract_z
Mg1 0.000 0.250 0.500
Ti1 0.000 0.500 0.250

---

[11]
# GGA-PBE BaDyAlS4, optimized geometry
# - energy relative to the elements, uncorrected (meV/atom) = -1766
# - E (eV per atom) = -5.59
# - calculated volume (Å³/cell) = 355
data_BaDyAlS4
_cell_length_a 6.546
_cell_length_b 6.715
_cell_length_c 8.461
_cell_angle_alpha 90.00
_cell_angle_beta 107.52
_cell_angle_gamma 90.00
_space_group_name_H-M_alt 'P 1 21/m 1'
_space_group_IT_number 11
loop_
_space_group_symop_operation_xyz
'x,y,z'
'-x,-y,-z'
'-x,y+1/2,-z'
'x,-y+1/2,z'
loop_
_atom_site_label
_atom_site_fract_x
_atom_site_fract_y
_atom_site_fract_z
Ba1 0.243 0.250 0.437
Dy1 0.281 0.250 0.949
Al1 0.264 0.750 0.173
S1 0.050 0.750 0.915
S2 0.068 0.750 0.348
S3 0.498 0.503 0.784

---

[12]
# GGA-PBE Si2TeH, optimized geometry
# - E (eV per atom) = -3.39
# - energy above the most stable polymorph in this dataset (kcal/mol of atoms) = 8.10
# - calculated volume (Å³/cell) = 280
data_Si2TeH
_cell_length_a 6.546
_cell_length_b 6.546
_cell_length_c 6.546
_cell_angle_alpha 90.00
_cell_angle_beta 90.00
_cell_angle_gamma 90.00
_space_group_name_H-M_alt 'F m -3 m'
_space_group_IT_number 225
_space_group_name_Hall '-F 4 2 3'
loop_
_atom_site_label
_atom_site_fract_x
_atom_site_fract_y
_atom_site_fract_z
Si1 0.250 0.250 0.250
Te1 0.000 0.000 0.000
H1 0.000 0.000 0.500